A relaxed structure of CaP2AuS, computed with GGA-PBE.

Output
The value obtained for the calculated volume is 23.6 A^3/atom. The raw total energy is -19.3 eV for the cell shown. The energy relative to the elements, uncorrected comes out at 0.9 eV per formula unit.

abc: 4.7865 4.7865 5.1447
angles: 90.00 90.00 90.00
Fractional coordinates of all 5 atoms:
Ca: 0.0000 0.0000 0.0000
P: 0.0000 0.5000 0.5000
P: 0.5000 0.0000 0.5000
Au: 0.5000 0.5000 0.5000
S: 0.5000 0.5000 0.0000

***

A relaxed structure of NbICl3, computed with GGA-PBE.

Output
The value obtained for the calculated volume is 24.8 A^3/atom. The raw total energy is -19.6 eV for the cell shown. The energy relative to the elements, uncorrected comes out at -2.4 eV per formula unit.

abc: 4.9858 4.9858 4.9858
angles: 90.00 90.00 90.00
Fractional coordinates of all 5 atoms:
Nb: 0.0000 0.0000 0.0000
I: 0.5000 0.5000 0.5000
Cl: 0.0000 0.0000 0.5000
Cl: 0.0000 0.5000 0.0000
Cl: 0.5000 0.0000 0.0000

***

| no. | energy above the lowest structure with this stoichiometry (meV/atom) |
| --- | --- |
| 1 | 0.0 |
| 2 | 463.8 |